## K2CoHgO4 (PBE+U)

Data for crystalline K2CoHgO4 at its relaxed geometry.

abc: 11.601 10.316 6.775
angles: 82.72 61.88 35.40
Atoms (fractional coordinates):
K1 0.064 0.064 0.686
K2 0.314 0.314 0.936
K3 0.686 0.686 0.064
K4 0.936 0.936 0.314
Co1 0.375 0.375 0.375
Co2 0.625 0.625 0.625
Hg1 0.125 0.125 0.125
Hg2 0.875 0.875 0.875
O1 0.051 0.629 0.506
O2 0.315 0.506 0.629
O3 0.371 0.949 0.685
O4 0.494 0.685 0.949
O5 0.506 0.315 0.051
O6 0.629 0.051 0.315
O7 0.685 0.494 0.371
O8 0.949 0.371 0.494

Results
- final energy (eV/cell) = -67.450
- space group = No. 70
- size of the total moment (μB per atom) = 0.3812